{"formula": "KHg2Ir", "functional": "GGA-PBE", "state": "relaxed", "lattice": [[7.9784, -0.0066, -0.0166], [-3.3163, 3.9638, 0.0166], [1.3459, 1.0960, 2.7433]], "species": ["Hg", "Hg", "Ir", "K"], "frac_coords": [[0.0000, 0.0000, 0.0000], [0.5000, 0.0000, 0.5000], [0.0000, 0.5000, 0.5000], [0.5000, 0.5000, 0.0000]], "polymorph_energy_mev_per_atom": 444.6, "space_group": "C2/m", "density_g_cm3": 12.11, "ef_ev_per_atom": 0.490}